[1]
Density functional theory data (PBE) for a relaxed MgCd2ReRu crystal.

D(E_F) = 3.47 states/eV/f.u.
Energy relative to the elements = 1017 meV per atom
Calculated volume = 123.2 Å³ per cell
M_tot = 1.6 μB/f.u.

abc: 5.128 5.128 4.684
angles: 90.00 90.00 90.00
Atoms (fractional coordinates):
Mg 0.000 0.000 0.000
Cd 0.000 0.500 0.500
Cd 0.500 0.000 0.500
Re 0.500 0.500 0.000
Ru 0.500 0.500 0.500

---

[2]
Density functional theory data (PBE) for a relaxed Mg2CdReSb crystal.

D(E_F) = 6.17 states/eV/f.u.
Uncorrected formation energy = 0.982 eV/atom
Calculated volume = 135.2 Å³ per cell
M_tot = 0.9 μB/f.u.

abc: 5.093 5.093 5.213
angles: 90.00 90.00 90.00
Atoms (fractional coordinates):
Mg 0.000 0.500 0.000
Mg 0.500 0.000 0.000
Cd 0.000 0.000 0.500
Re 0.000 0.000 0.000
Sb 0.500 0.500 0.500

---

[3]
Density functional theory data (PBE) for a relaxed MgTlCdRe2 crystal.

D(E_F) = 6.14 states/eV/f.u.
Energy relative to the elements = 2297 meV per atom
Calculated volume = 134.8 Å³ per cell
M_tot = 4.0 μB/f.u.

abc: 5.120 5.120 5.142
angles: 90.00 90.00 90.00
Atoms (fractional coordinates):
Mg 0.000 0.000 0.000
Tl 0.500 0.500 0.500
Cd 0.500 0.500 0.000
Re 0.000 0.500 0.500
Re 0.500 0.000 0.500

---

[4]
Density functional theory data (PBE) for a relaxed MgTl2CdRe crystal.

D(E_F) = 4.52 states/eV/f.u.
Energy relative to the elements = 741 meV per atom
Calculated volume = 148.5 Å³ per cell
M_tot = 0.4 μB/f.u.

abc: 5.321 5.321 5.244
angles: 90.00 90.00 90.00
Atoms (fractional coordinates):
Mg 0.000 0.000 0.000
Tl 0.000 0.500 0.500
Tl 0.500 0.000 0.500
Cd 0.500 0.500 0.000
Re 0.000 0.000 0.500

---

[5]
Density functional theory data (PBE) for a relaxed MgCd2Rh crystal.

D(E_F) = 3.60 states/eV/f.u.
Energy relative to the elements = 14 meV per atom
Calculated volume = 76.9 Å³ per cell
M_tot = 0.3 μB/f.u.

abc: 9.640 9.640 9.640
angles: 18.28 18.28 18.28
Atoms (fractional coordinates):
Mg 0.000 0.000 0.000
Cd 0.244 0.244 0.244
Cd 0.756 0.756 0.756
Rh 0.500 0.500 0.500

---

[6]
Density functional theory data (PBE) for a relaxed Mg2CdRh crystal.

D(E_F) = 1.36 states/eV/f.u.
Energy relative to the elements = -252 meV per atom
Calculated volume = 71.0 Å³ per cell
M_tot = 0.0 μB/f.u.

abc: 4.648 4.648 4.648
angles: 60.00 60.00 60.00
Atoms (fractional coordinates):
Mg 0.000 0.000 0.000
Mg 0.250 0.250 0.250
Cd 0.500 0.500 0.500
Rh 0.750 0.750 0.750

---

[7]
Density functional theory data (PBE) for a relaxed Mg7CdRh4 crystal.

D(E_F) = 3.13 states/eV/f.u.
Energy relative to the elements = -330 meV per atom
Calculated volume = 205.9 Å³ per cell
M_tot = 0.0 μB/f.u.
Excess energy over the best structure of this formula in the dataset = 0 meV/atom

abc: 5.528 5.689 7.045
angles: 99.87 92.03 108.64
Atoms (fractional coordinates):
Mg 0.000 0.000 0.000
Mg 0.129 0.848 0.367
Mg 0.256 0.502 0.011
Mg 0.409 0.665 0.629
Mg 0.591 0.335 0.371
Mg 0.744 0.498 0.989
Mg 0.871 0.152 0.633
Cd 0.500 0.000 0.000
Rh 0.085 0.332 0.324
Rh 0.372 0.188 0.699
Rh 0.628 0.812 0.301
Rh 0.915 0.668 0.676

---

[8]
Density functional theory data (PBE) for a relaxed Mg2Cd5Rh crystal.

D(E_F) = 2.54 states/eV/f.u.
Energy relative to the elements = -163 meV per atom
Calculated volume = 328.6 Å³ per cell
M_tot = 0.0 μB/f.u.

abc: 5.561 5.561 18.651
angles: 90.00 90.00 145.27
Atoms (fractional coordinates):
Mg 0.230 0.770 0.658
Mg 0.230 0.770 0.842
Mg 0.770 0.230 0.158
Mg 0.770 0.230 0.342
Cd 0.049 0.951 0.113
Cd 0.049 0.951 0.387
Cd 0.360 0.640 0.024
Cd 0.360 0.640 0.476
Cd 0.448 0.552 0.250
Cd 0.552 0.448 0.750
Cd 0.640 0.360 0.524
Cd 0.640 0.360 0.976
Cd 0.951 0.049 0.613
Cd 0.951 0.049 0.887
Rh 0.164 0.836 0.250
Rh 0.836 0.164 0.750

---

[9]
Density functional theory data (PBE) for a relaxed Mg2Cd2Rh3 crystal.

D(E_F) = 5.09 states/eV/f.u.
Energy relative to the elements = -240 meV per atom
Calculated volume = 124.5 Å³ per cell
M_tot = 0.0 μB/f.u.

abc: 4.458 4.458 7.666
angles: 106.79 106.79 60.06
Atoms (fractional coordinates):
Mg 0.121 0.121 0.363
Mg 0.879 0.879 0.637
Cd 0.371 0.371 0.113
Cd 0.629 0.629 0.887
Rh 0.244 0.244 0.731
Rh 0.500 0.500 0.500
Rh 0.756 0.756 0.269

---

[10]
Density functional theory data (PBE) for a relaxed MgCd4Rh crystal.

D(E_F) = 2.99 states/eV/f.u.
Energy relative to the elements = 102 meV per atom
Calculated volume = 121.5 Å³ per cell
M_tot = 0.0 μB/f.u.
Excess energy over the best structure of this formula in the dataset = 211 meV/atom

abc: 5.559 5.559 5.559
angles: 60.00 60.00 60.00
Atoms (fractional coordinates):
Mg 0.000 0.000 0.000
Cd 0.375 0.375 0.375
Cd 0.375 0.375 0.874
Cd 0.375 0.874 0.375
Cd 0.874 0.375 0.375
Rh 0.750 0.750 0.750

---

[11]
Density functional theory data (PBE) for a relaxed Mg12Cd6Rh crystal.

D(E_F) = 8.18 states/eV/f.u.
Energy relative to the elements = -107 meV per atom
Calculated volume = 412.7 Å³ per cell
M_tot = 0.0 μB/f.u.

abc: 7.639 7.639 7.639
angles: 101.83 101.83 101.83
Atoms (fractional coordinates):
Mg 0.173 0.176 0.432
Mg 0.176 0.432 0.173
Mg 0.187 0.598 0.589
Mg 0.402 0.411 0.813
Mg 0.411 0.813 0.402
Mg 0.432 0.173 0.176
Mg 0.568 0.827 0.824
Mg 0.589 0.187 0.598
Mg 0.598 0.589 0.187
Mg 0.813 0.402 0.411
Mg 0.824 0.568 0.827
Mg 0.827 0.824 0.568
Cd 0.003 0.749 0.252
Cd 0.251 0.748 0.997
Cd 0.252 0.003 0.749
Cd 0.748 0.997 0.251
Cd 0.749 0.252 0.003
Cd 0.997 0.251 0.748
Rh 0.500 0.500 0.500

---

[12]
Density functional theory data (PBE) for a relaxed MgCd2Rh crystal.

D(E_F) = 1.64 states/eV/f.u.
Energy relative to the elements = -167 meV per atom
Calculated volume = 79.6 Å³ per cell
M_tot = 0.0 μB/f.u.

abc: 3.112 8.324 8.324
angles: 21.67 90.00 90.00
Atoms (fractional coordinates):
Mg 0.000 0.000 0.000
Cd 0.000 0.198 0.198
Cd 0.500 0.838 0.838
Rh 0.500 0.592 0.592